1.
DFT (PBEsol) results for a relaxed KTaSi2 crystal.

Unit cell a=2.809 b=4.353 c=8.070 alpha=90.00 beta=90.00 gamma=90.00
Fractional coordinates of all 4 atoms:
1 K 0.000 0.000 0.000
2 Ta 0.500 0.500 0.579
3 Si 0.000 0.000 0.599
4 Si 0.500 0.500 0.277


2.
DFT (PBEsol) results for a relaxed KTaSi2 crystal.

Unit cell a=6.808 b=7.721 c=2.728 alpha=90.00 beta=90.00 gamma=90.00
Fractional coordinates of all 8 atoms:
1 K 0.000 0.000 0.000
2 K 0.500 0.500 0.000
3 Ta 0.000 0.500 0.000
4 Ta 0.500 0.000 0.000
5 Si 0.250 0.250 0.500
6 Si 0.250 0.750 0.500
7 Si 0.750 0.250 0.500
8 Si 0.750 0.750 0.500


3.
DFT (PBEsol) results for a relaxed KSi4Tc crystal.

Unit cell a=5.137 b=5.137 c=5.137 alpha=60.00 beta=60.00 gamma=60.00
Fractional coordinates of all 6 atoms:
1 K 0.000 0.000 0.000
2 Si 0.377 0.377 0.377
3 Si 0.377 0.377 0.869
4 Si 0.377 0.869 0.377
5 Si 0.869 0.377 0.377
6 Tc 0.750 0.750 0.750


4.
DFT (PBEsol) results for a relaxed K4SiTc crystal.

Unit cell a=6.448 b=6.448 c=6.448 alpha=60.00 beta=60.00 gamma=60.00
Fractional coordinates of all 6 atoms:
1 K 0.376 0.376 0.376
2 K 0.376 0.376 0.872
3 K 0.376 0.872 0.376
4 K 0.872 0.376 0.376
5 Si 0.750 0.750 0.750
6 Tc 0.000 0.000 0.000


5.
DFT (PBEsol) results for a relaxed KSi2Tc crystal.

Unit cell a=2.713 b=4.711 c=5.480 alpha=90.00 beta=90.00 gamma=90.00
Fractional coordinates of all 4 atoms:
1 K 0.000 0.000 0.000
2 Si 0.000 0.500 0.500
3 Si 0.500 0.500 0.000
4 Tc 0.500 0.000 0.500


6.
DFT (PBEsol) results for a relaxed KSi2Te crystal.

Unit cell a=5.418 b=3.814 c=5.789 alpha=90.00 beta=108.85 gamma=90.00
Fractional coordinates of all 4 atoms:
1 K 0.000 0.000 0.000
2 Si 0.609 0.000 0.354
3 Si 0.875 0.500 0.475
4 Te 0.368 0.500 0.634


7.
DFT (PBEsol) results for a relaxed KSi2Te crystal.

Unit cell a=3.495 b=6.062 c=9.789 alpha=90.00 beta=90.00 gamma=90.00
Fractional coordinates of all 8 atoms:
1 K 0.000 0.000 0.000
2 K 0.500 0.500 0.500
3 Si 0.000 0.000 0.531
4 Si 0.000 0.500 0.197
5 Si 0.500 0.000 0.697
6 Si 0.500 0.500 0.031
7 Te 0.000 0.500 0.821
8 Te 0.500 0.000 0.321


8.
DFT (PBEsol) results for a relaxed KTlSi3 crystal.

Unit cell a=5.322 b=5.322 c=5.322 alpha=90.00 beta=90.00 gamma=90.00
Fractional coordinates of all 5 atoms:
1 K 0.000 0.000 0.000
2 Tl 0.500 0.500 0.500
3 Si 0.000 0.500 0.500
4 Si 0.500 0.000 0.500
5 Si 0.500 0.500 0.000


Number 1: calculated volume 99 Å³ per cell, DFT total energy -5.888 eV/atom, formation energy without anion corrections 406 meV/atom. Number 2: calculated volume 143 Å³ per cell, DFT total energy -5.748 eV/atom, formation energy without anion corrections 546 meV/atom. Number 3: calculated volume 96 Å³ per cell, DFT total energy -5.228 eV/atom, formation energy without anion corrections 670 meV/atom. Number 4: calculated volume 190 Å³ per cell, DFT total energy -2.205 eV/atom, formation energy without anion corrections 1386 meV/atom. Number 5: calculated volume 70 Å³ per cell, DFT total energy -4.905 eV/atom, formation energy without anion corrections 1068 meV/atom. Number 6: calculated volume 113 Å³ per cell, DFT total energy -3.930 eV/atom, formation energy without anion corrections 108 meV/atom. Number 7: calculated volume 207 Å³ per cell, DFT total energy -3.796 eV/atom, formation energy without anion corrections 242 meV/atom. Number 8: calculated volume 151 Å³ per cell, DFT total energy -3.122 eV/atom, formation energy without anion corrections 1079 meV/atom.